LiTh2Mo GGA-PBE optimized geometry; energy above the most stable polymorph in this dataset = 6 meV/atom; M_tot = 0.000 μB/atom; D(E_F) = 4.97 states/eV/cell; space-group type = P4/mmm (123); ΔE_f = 0.20 eV per atom
1.0
3.596 0.000 0.000
0.000 3.596 0.000
0.000 0.000 7.861
Li Th Mo
1 2 1
Cartesian
0.000 0.000 0.000
1.798 1.798 2.189
1.798 1.798 5.672
0.000 0.000 3.930